# 1
Hf2Cd2Pb PBE optimized geometry; magnetization = 0.09 μB per formula unit; SG = I4/mmm (139); uncorrected energy = -23.5 eV/f.u.
1.0
5.894 -4.177 -1.525
2.555 -6.128 3.229
-5.924 3.445 -2.746
Cd Hf Pb
2 2 1
Cartesian
3.378 -4.120 0.682
5.070 -6.184 1.023
2.097 -2.942 -1.709
0.428 -3.917 0.668
0.000 0.000 0.000



# 2
TbY2Tl3AgPt2 PBE optimized geometry; magnetization = 0.03 μB per formula unit; SG = Amm2 (38); uncorrected energy = -45.6 eV/f.u.
1.0
3.777 0.000 0.000
0.000 6.874 3.973
0.000 -6.874 3.973
Ag Pt Tb Tl Y
1 2 1 3 2
Cartesian
0.000 0.000 0.000
1.888 2.287 3.971
1.888 -2.287 3.971
0.000 0.000 3.260
1.888 5.013 5.047
1.888 0.000 5.801
1.888 -5.013 5.047
0.000 4.058 2.346
0.000 -4.058 2.346



# 3
La2Tb PBE optimized geometry; magnetization = 0.04 μB per formula unit; SG = Fd-3m (227); uncorrected energy = -13.8 eV/f.u.
1.0
0.000 4.751 4.751
4.751 0.000 4.751
4.751 4.751 0.000
La Tb
4 2
Cartesian
3.564 3.564 5.939
3.564 5.939 3.564
5.939 3.564 3.564
5.939 5.939 5.939
0.000 0.000 0.000
2.376 2.376 2.376



# 4
LuNbGaCo PBE optimized geometry; magnetization = 2.00 μB per formula unit; SG = F-43m (216); uncorrected energy = -24.3 eV/f.u.
1.0
2.732 -1.629 3.274
-1.075 -3.883 2.147
2.456 -3.776 -0.745
Co Ga Lu Nb
1 1 1 1
Cartesian
3.085 -6.966 3.507
0.000 0.000 0.000
2.057 -4.644 2.338
1.028 -2.322 1.169



# 5
Cs2Na2HgP2 PBE optimized geometry; SG = R-3m (166); uncorrected energy = -17.6 eV/f.u.
1.0
-9.780 0.617 -4.492
-9.366 5.086 -1.619
-7.159 4.818 -6.462
Cs Hg Na P
2 1 2 2
Cartesian
-5.433 2.173 -2.597
-20.872 8.348 -9.975
0.000 0.000 0.000
-10.169 4.067 -4.860
-16.135 6.454 -7.712
-2.048 0.819 -0.979
-24.257 9.702 -11.593



# 6
Li2ZnAg2GeAu2 PBE optimized geometry; SG = P-4m2 (115); uncorrected energy = -24.2 eV/f.u.
1.0
4.449 0.000 0.000
0.000 4.449 0.000
0.000 0.000 6.495
Ag Au Ge Li Zn
2 2 1 2 1
Cartesian
0.000 2.224 1.668
2.224 0.000 4.827
2.224 0.000 1.668
0.000 2.224 4.827
0.000 0.000 0.000
2.224 2.224 0.000
0.000 0.000 3.248
2.224 2.224 3.248



# 7
PrNd5Bi6 PBE optimized geometry; magnetization = 0.01 μB per formula unit; SG = C2/m (12); uncorrected energy = -64.5 eV/f.u.
1.0
3.984 -6.902 0.000
3.984 6.902 0.000
-2.658 0.000 7.513
Bi Nd Pr
6 5 1
Cartesian
5.302 0.000 1.881
1.333 -2.308 1.884
1.333 2.308 1.884
3.977 -2.308 5.629
3.977 2.308 5.629
0.008 0.000 5.633
3.984 -2.303 0.000
3.984 2.303 0.000
2.655 -4.608 3.757
2.655 0.000 3.757
2.655 4.608 3.757
0.000 0.000 0.000



# 8
ZnInCuNi PBE optimized geometry; magnetization = 0.00 μB per formula unit; SG = F-43m (216); uncorrected energy = -13.6 eV/f.u.
1.0
-0.147 -1.067 4.186
-3.411 -2.144 1.565
0.407 -4.135 1.191
Cu In Ni Zn
1 1 1 1
Cartesian
-2.364 -5.509 5.206
0.000 0.000 0.000
-0.788 -1.836 1.735
-1.576 -3.673 3.471



# 9
GdYSc2As2 PBE optimized geometry; magnetization = 0.95 μB per formula unit; SG = I4mm (107); uncorrected energy = -39.2 eV/f.u.
1.0
-0.476 1.962 8.091
-5.709 0.216 6.075
3.744 -3.863 -6.372
As Gd Sc Y
2 1 2 1
Cartesian
-0.796 0.280 1.824
-5.391 1.898 12.348
-4.192 1.476 9.601
1.634 -0.951 0.859
-0.983 -1.824 -0.149
-1.992 0.702 4.563



# 10
AcPmZr PBE optimized geometry; magnetization = 1.51 μB per formula unit; SG = F-43m (216); uncorrected energy = -14.2 eV/f.u.
1.0
0.000 3.847 3.847
3.847 0.000 3.847
3.847 3.847 0.000
Ac Pm Zr
1 1 1
Cartesian
0.000 0.000 0.000
1.924 1.924 1.924
5.771 5.771 5.771



# 11
InPtAu2 PBE optimized geometry; magnetization = 0.00 μB per formula unit; SG = F-43m (216); uncorrected energy = -16.0 eV/f.u.
1.0
0.000 3.302 3.302
3.302 0.000 3.302
3.302 3.302 0.000
Au In Pt
2 1 1
Cartesian
0.000 0.000 0.000
4.953 4.953 4.953
3.302 3.302 3.302
1.651 1.651 1.651



# 12
LaGd2Ag4Ge4 PBE optimized geometry; magnetization = 0.01 μB per formula unit; SG = Immm (71); uncorrected energy = -50.3 eV/f.u.
1.0
-2.187 3.635 7.361
2.187 -3.635 7.361
2.187 3.635 -7.361
Ag Gd Ge La
4 2 4 1
Cartesian
0.000 2.204 4.866
0.000 2.204 9.855
2.187 1.431 -2.494
2.187 1.431 2.494
0.000 3.635 1.864
2.187 0.000 5.497
0.000 0.000 3.224
0.000 0.000 11.497
0.000 1.293 7.361
2.187 2.342 0.000
0.000 0.000 0.000



# 13
BeCuSi2 PBE optimized geometry; SG = F-43m (216); uncorrected energy = -16.5 eV/f.u.
1.0
-0.430 2.562 3.231
-1.250 3.906 -0.604
-3.782 1.178 1.222
Be Cu Si
1 1 2
Cartesian
-2.731 3.823 1.924
-1.366 1.912 0.962
0.000 0.000 0.000
-4.097 5.735 2.887



# 14
ZrAl2Tc2 PBE optimized geometry; magnetization = 0.00 μB per formula unit; SG = I4/mmm (139); uncorrected energy = -36.9 eV/f.u.
1.0
3.134 0.361 5.055
4.735 3.589 0.445
-5.667 0.196 -1.831
Al Tc Zr
2 2 1
Cartesian
0.701 1.266 2.987
1.501 2.880 0.682
3.068 1.541 2.145
4.800 2.410 3.355
0.000 0.000 0.000



# 15
BaSr3Pt PBE optimized geometry; magnetization = 0.03 μB per formula unit; SG = I4mm (107); uncorrected energy = -15.2 eV/f.u.
1.0
-3.042 3.042 6.214
3.042 -3.042 6.214
3.042 3.042 -6.214
Ba Pt Sr
1 1 3
Cartesian
0.000 0.000 9.247
0.000 0.000 12.321
0.000 0.000 2.863
0.000 3.042 6.059
3.042 0.000 6.059



# 16
La5PaN6 PBE optimized geometry; magnetization = 0.00 μB per formula unit; SG = C2/m (12); uncorrected energy = -101.5 eV/f.u.
1.0
3.193 -5.529 0.000
3.193 5.529 0.000
-2.124 0.000 6.001
La N Pa
5 6 1
Cartesian
3.193 -1.844 0.000
3.193 1.844 0.000
2.132 -3.704 3.000
2.132 0.000 3.000
2.132 3.704 3.000
0.958 -1.655 1.374
0.958 1.655 1.374
4.456 0.000 1.416
-0.193 0.000 4.584
3.305 -1.655 4.626
3.305 1.655 4.626
0.000 0.000 0.000



# 17
HfTa2Ge2 PBE optimized geometry; magnetization = 0.00 μB per formula unit; SG = I4/mmm (139); uncorrected energy = -44.1 eV/f.u.
1.0
5.141 2.542 3.077
0.615 5.828 2.832
-3.791 -5.263 -0.538
Ge Hf Ta
2 1 2
Cartesian
2.298 3.342 2.360
3.458 5.028 3.550
0.000 0.000 0.000
2.114 0.732 2.747
-0.149 2.375 2.624



# 18
YGa2Cu PBE optimized geometry; magnetization = 0.00 μB per formula unit; SG = Cmmm (65); uncorrected energy = -18.3 eV/f.u.
1.0
-4.751 4.663 6.227
1.654 -3.031 -8.436
-2.247 -3.269 0.734
Cu Ga Y
2 4 2
Cartesian
-2.060 1.430 0.065
-1.038 0.202 -2.274
0.000 0.000 0.000
-2.915 2.458 2.024
-0.182 -0.825 -4.233
-2.672 -0.819 -0.738
-4.953 1.922 4.485
-0.391 -3.559 -5.960



# 19
YAlNiPd PBE optimized geometry; magnetization = 0.00 μB per formula unit; SG = F-43m (216); uncorrected energy = -23.5 eV/f.u.
1.0
0.000 3.246 3.246
3.246 0.000 3.246
3.246 3.246 0.000
Al Ni Pd Y
1 1 1 1
Cartesian
0.000 0.000 0.000
4.869 4.869 4.869
1.623 1.623 1.623
3.246 3.246 3.246



# 20
AlAgBr3Cl PBE optimized geometry; SG = P1 (1); uncorrected energy = -19.2 eV/f.u.
1.0
6.148 0.000 0.000
-0.024 6.185 0.000
-2.974 -3.102 5.355
Ag Al Br Cl
1 1 3 1
Cartesian
0.093 -0.018 5.351
0.051 3.058 2.657
4.900 4.531 1.390
1.538 -1.851 3.960
-1.405 1.785 3.967
1.244 1.740 1.418



# 21
Na6CdI8 PBE optimized geometry; SG = Fm-3m (225); uncorrected energy = -38.0 eV/f.u.
1.0
-0.530 0.547 9.057
-4.956 6.561 3.875
-7.773 -2.074 4.231
Cd I Na
1 8 6
Cartesian
0.000 0.000 0.000
-3.423 1.481 8.832
-5.749 4.643 6.107
-6.028 4.931 10.869
-3.315 1.259 4.291
-9.944 3.776 12.872
-7.230 0.104 6.295
-7.509 0.391 11.056
-9.836 3.553 8.331
-0.265 0.273 4.529
-2.478 3.280 1.937
-2.743 3.554 6.466
-3.886 -1.037 2.116
-4.151 -0.763 6.644
-6.364 2.244 4.053



# 22
ScZn2Cu2 PBE optimized geometry; magnetization = 0.01 μB per formula unit; SG = I4/mmm (139); uncorrected energy = -17.1 eV/f.u.
1.0
-1.877 1.877 5.496
1.877 -1.877 5.496
1.877 1.877 -5.496
Cu Sc Zn
2 1 2
Cartesian
0.000 0.000 4.347
0.000 0.000 6.645
0.000 0.000 0.000
0.000 1.877 2.748
1.877 0.000 2.748



# 23
ErTmZn2Ge2 PBE optimized geometry; magnetization = 0.00 μB per formula unit; SG = P6_3/mmc (194); uncorrected energy = -24.6 eV/f.u.
1.0
-3.244 -2.567 -0.807
2.369 -0.613 3.432
-9.301 9.218 8.066
Er Ge Tm Zn
2 4 2 4
Cartesian
0.000 0.000 0.000
-4.650 4.609 4.033
-2.426 -0.872 1.519
-4.970 1.650 3.726
-5.205 4.389 6.965
-7.750 6.910 9.172
-2.325 2.305 2.017
-6.975 6.914 6.050
-0.887 0.109 3.221
-2.767 1.972 4.851
-7.409 4.067 5.841
-9.288 5.929 7.471



# 24
Dy7Ni2Te2 PBE optimized geometry; magnetization = 0.01 μB per formula unit; SG = Imm2 (44); uncorrected energy = -57.1 eV/f.u.
1.0
6.396 -2.528 -6.376
-0.943 -5.248 7.715
-2.036 2.998 -8.650
Dy Ni Te
7 2 2
Cartesian
2.853 -4.069 0.701
1.151 -0.757 -1.849
-0.101 -4.344 2.854
2.918 -1.797 -4.974
4.195 -1.660 -9.376
1.514 -4.170 -2.710
4.357 -0.411 -12.895
4.283 -4.519 -2.774
0.174 -1.744 -4.281
4.687 -6.684 1.151
-0.077 -3.140 -0.120



# 25
LaBeCuP2 PBE optimized geometry; magnetization = 0.00 μB per formula unit; SG = I-4m2 (119); uncorrected energy = -26.9 eV/f.u.
1.0
-0.264 1.610 6.186
3.341 4.310 3.345
-3.367 -1.108 -5.326
Be Cu La P
1 1 1 2
Cartesian
0.000 0.000 0.000
1.539 2.960 4.766
0.756 3.081 1.393
-1.459 0.937 1.534
-0.633 2.526 4.092



# 26
Co4SbAs3 PBE optimized geometry; magnetization = 0.01 μB per formula unit; SG = Pm (6); uncorrected energy = -48.3 eV/f.u.
1.0
-4.642 -2.047 0.207
1.309 -3.107 -1.359
1.174 -2.052 5.821
As Co Sb
3 4 1
Cartesian
-0.423 -2.247 -0.133
-2.370 -3.954 1.894
-0.442 -1.698 3.456
0.285 -0.544 1.517
-1.998 -1.575 1.675
-0.777 -4.053 3.655
1.489 -3.084 3.624
-2.373 -3.406 5.501